# 1
PmLuPdRu | the Alexandria database | PBE | optimized geometry; N(E_F) = 2.1 states/eV per cell; total moment = 0.000 μB per atom; energy relative to the elements = -595 meV per atom; calculated density = 10.6 g/cm3
1.0
0.000 3.461 3.461
3.461 0.000 3.461
3.461 3.461 0.000
Pm Lu Pd Ru
1 1 1 1
Direct
0.000 0.000 0.000 Pm
0.500 0.500 0.500 Lu
0.250 0.250 0.250 Pd
0.750 0.750 0.750 Ru

---

# 2
PmLuSiPd | the Alexandria database | PBE | optimized geometry; formation energy (no corrections) = -15.8 kcal/mol of atoms; N(E_F) = 1.9 states/eV per cell; total moment = 0.000 μB per atom; calculated density = 8.5 g/cm3
1.0
0.000 3.535 3.535
3.535 0.000 3.535
3.535 3.535 0.000
Pm Lu Si Pd
1 1 1 1
Direct
0.000 0.000 0.000 Pm
0.500 0.500 0.500 Lu
0.750 0.750 0.750 Si
0.250 0.250 0.250 Pd

---

# 3
PrLuPd | the Alexandria database | PBE | optimized geometry; N(E_F) = 2.0 states/eV per cell; total moment = 0.000 μB per atom; energy relative to the elements = -410 meV per atom; calculated density = 8.9 g/cm3; distance to the lowest polymorph of the same formula = 129 meV/atom
1.0
4.753 0.000 0.000
-2.376 4.116 0.000
0.000 0.000 4.046
Pr Lu Pd
1 1 1
Direct
0.000 0.000 0.000 Pr
0.333 0.667 0.516 Lu
0.667 0.333 0.386 Pd

---

# 4
PrLuPd | the Alexandria database | PBE | optimized geometry; N(E_F) = 2.8 states/eV per cell; total moment = 0.000 μB per atom; energy relative to the elements = -440 meV per atom; calculated density = 8.2 g/cm3; distance to the lowest polymorph of the same formula = 99 meV/atom
1.0
0.000 3.497 3.497
3.497 0.000 3.497
3.497 3.497 0.000
Pr Lu Pd
1 1 1
Direct
0.000 0.000 0.000 Pr
0.500 0.500 0.500 Lu
0.750 0.750 0.750 Pd

---

# 5
PrLuPd | the Alexandria database | PBE | optimized geometry; N(E_F) = 2.8 states/eV per cell; total moment = 0.000 μB per atom; energy relative to the elements = -539 meV per atom; calculated density = 8.9 g/cm3; distance to the lowest polymorph of the same formula = 0 meV/atom
1.0
-1.785 1.785 6.172
1.785 -1.785 6.172
1.785 1.785 -6.172
Pr Lu Pd
1 1 1
Direct
0.000 0.000 0.000 Pr
0.278 0.278 0.000 Lu
0.665 0.665 0.000 Pd

---

# 6
PrLuPdPt | the Alexandria database | PBE | optimized geometry; N(E_F) = 3.4 states/eV per cell; total moment = 0.000 μB per atom; energy relative to the elements = -972 meV per atom; calculated density = 11.5 g/cm3
1.0
0.000 3.543 3.543
3.543 0.000 3.543
3.543 3.543 0.000
Pr Lu Pd Pt
1 1 1 1
Direct
0.000 0.000 0.000 Pr
0.500 0.500 0.500 Lu
0.250 0.250 0.250 Pd
0.750 0.750 0.750 Pt